PrDy2Cu2Ge2: optimized geometry, PBE.

Geometry as CIF:
```
data_PrDy2Cu2Ge2
_symmetry_space_group_name_H-M 'R -3 m'
_symmetry_Int_Tables_number 166
_symmetry_space_group_name_Hall '-R 3 2"'
_cell_length_a 4.3294
_cell_length_b 4.3294
_cell_length_c 28.2917
_cell_angle_alpha 90.00
_cell_angle_beta 90.00
_cell_angle_gamma 120.00
loop_
_atom_site_label
_atom_site_type_symbol
_atom_site_fract_x
_atom_site_fract_y
_atom_site_fract_z
_atom_site_occupancy
Pr1 Pr 0.0000 0.0000 0.0000 1
Dy1 Dy 0.0000 0.0000 0.1276 1
Cu1 Cu 0.0000 0.0000 0.4057 1
Ge1 Ge 0.0000 0.0000 0.2599 1
```

Dy2Cu3Ge4Pt: optimized geometry, PBE.

Geometry as CIF:
```
data_Dy2Cu3Ge4Pt
_symmetry_space_group_name_H-M 'P -4 m 2'
_symmetry_Int_Tables_number 115
_symmetry_space_group_name_Hall 'P -4 -2'
_cell_length_a 4.1506
_cell_length_b 4.1506
_cell_length_c 10.1815
_cell_angle_alpha 90.00
_cell_angle_beta 90.00
_cell_angle_gamma 90.00
loop_
_atom_site_label
_atom_site_type_symbol
_atom_site_fract_x
_atom_site_fract_y
_atom_site_fract_z
_atom_site_occupancy
Dy1 Dy 0.0000 0.5000 0.2491 1
Cu1 Cu 0.0000 0.0000 0.0000 1
Cu2 Cu 0.0000 0.5000 0.6315 1
Ge1 Ge 0.0000 0.0000 0.5000 1
Ge2 Ge 0.0000 0.5000 0.8619 1
Ge3 Ge 0.5000 0.5000 0.5000 1
Pt1 Pt 0.5000 0.5000 0.0000 1
```

Dy2CuGePt6: optimized geometry, PBE.

Geometry as CIF:
```
data_Dy2CuGePt6
_symmetry_space_group_name_H-M 'C 1 2/m 1'
_symmetry_Int_Tables_number 12
_symmetry_space_group_name_Hall '-C 2y'
_cell_length_a 9.5912
_cell_length_b 5.5437
_cell_length_c 8.3138
_cell_angle_alpha 90.00
_cell_angle_beta 112.51
_cell_angle_gamma 90.00
loop_
_atom_site_label
_atom_site_type_symbol
_atom_site_fract_x
_atom_site_fract_y
_atom_site_fract_z
_atom_site_occupancy
Dy1 Dy 0.2000 0.0000 0.1008 1
Cu1 Cu 0.0000 0.5000 0.0000 1
Ge1 Ge 0.0000 0.0000 0.5000 1
Pt1 Pt 0.0020 0.2537 0.2542 1
Pt2 Pt 0.2487 0.5000 0.2546 1
```

In order of appearance, energy of formation = -0.4933; -0.5612; -0.7457 eV per atom.
In order of appearance, D(E_F) = 3.28; 4.73; 4.65 states/eV/f.u..